No. 1
Material: NbPOs2S
Method: DFT, PBE-GGA
State: optimized geometry

abc: 4.8529 4.5698 4.8529
angles: 90.00 90.00 90.00
With the nearest neighbours (Å) after each atom.
Fractional positions:
P1 0.5000 0.5000 0.5000  8 Os 3.33, 4 S 3.43
Nb1 0.0000 0.0000 0.0000  2 S 2.28, 4 Os 2.43
Os1 0.0000 0.0000 0.5000  2 Nb 2.43
Os2 0.5000 0.0000 0.0000  2 Nb 2.43
S1 0.0000 0.5000 0.0000  2 Nb 2.28

Output
The value obtained for the formation energy (no corrections) is 1.9264 eV per atom.


No. 2
Material: TcMo2Ru
Method: DFT, PBE-GGA
State: optimized geometry

abc: 4.7773 4.7773 2.7900
angles: 90.00 90.00 108.49
With the nearest neighbours (Å) after each atom.
Fractional positions:
Mo1 0.0000 0.0000 0.0000  4 Tc 2.77, 4 Ru 2.77, 4 Mo 2.79
Mo2 0.5000 0.5000 0.0000  4 Ru 2.77, 4 Tc 2.77, 4 Mo 2.79
Ru1 0.5000 0.0000 0.5000  8 Mo 2.77, 2 Ru 2.79, 2 Tc 2.79
Tc1 0.0000 0.5000 0.5000  8 Mo 2.77, 2 Tc 2.79, 2 Ru 2.79

Output
For the excess energy over the best structure of this formula in the dataset, the calculation gives 14 meV per atom. For the formation energy, the calculation gives 116 meV/atom.


No. 3
Material: Ta2Hg2H
Method: DFT, PBE-GGA
State: optimized geometry

abc: 5.7191 5.7191 5.2261
angles: 90.00 90.00 90.00
With the nearest neighbours (Å) after each atom.
Fractional positions:
H1 0.0000 0.0000 0.0000  4 Ta 2.09
H2 0.5000 0.5000 0.0000  4 Ta 2.09
Hg1 0.1737 0.6737 0.5000  5 Hg 2.81-2.99, 2 Ta 2.85
Hg2 0.6737 0.8263 0.5000  5 Hg 2.81-2.99, 2 Ta 2.85
Hg3 0.8263 0.3263 0.5000  5 Hg 2.81-2.99, 2 Ta 2.85
Hg4 0.3263 0.1737 0.5000  5 Hg 2.81-2.99, 2 Ta 2.85
Ta1 0.3137 0.8137 0.0000  2 H 2.09
Ta2 0.8137 0.6863 0.0000  2 H 2.09
Ta3 0.6863 0.1863 0.0000  2 H 2.09
Ta4 0.1863 0.3137 0.0000  2 H 2.09

Output
For the excess energy over the best structure of this formula in the dataset, the calculation gives 0 meV per atom.


Computed mass density (g/cm³) in order:
8.28; 10.75; 14.85